Compound: Nd12Tl2Ga5
Source: the Alexandria database
Functional: PBE-GGA
Structure: relaxed

Summary:
space group = C2/m (12)
DFT formation energy = -20 kJ/mol of atoms
calculated total energy = -80.9 eV/cell

a = 9.7091 Å, b = 9.7091 Å, c = 9.2941 Å
α = 99.81°, β = 99.81°, γ = 44.24°
With the nearest neighbours (Å) after each atom.
Fractional coordinates of all 19 atoms:
1 Nd 0.0171 0.0171 0.2373  1 Ga 2.99, 2 Tl 3.26
2 Nd 0.0604 0.5823 0.4011  2 Ga 2.94-3.11, 1 Tl 3.19
3 Nd 0.0974 0.6236 0.0019  4 Ga 2.99-3.20
4 Nd 0.3764 0.9026 0.9981  4 Ga 2.99-3.20
5 Nd 0.3999 0.3999 0.7107  2 Ga 2.95-3.21
6 Nd 0.4177 0.9396 0.5989  2 Ga 2.94-3.11, 1 Tl 3.19
7 Nd 0.5823 0.0604 0.4011  2 Ga 2.94-3.11, 1 Tl 3.19
8 Nd 0.6001 0.6001 0.2893  2 Ga 2.95-3.21
9 Nd 0.6236 0.0974 0.0019  4 Ga 2.99-3.20
10 Nd 0.9026 0.3764 0.9981  4 Ga 2.99-3.20
11 Nd 0.9396 0.4177 0.5989  2 Ga 2.94-3.11, 1 Tl 3.19
12 Nd 0.9829 0.9829 0.7627  1 Ga 2.99, 2 Tl 3.26
13 Tl 0.2824 0.7176 0.5000  1 Tl 3.18, 6 Nd 3.19-3.30
14 Tl 0.7176 0.2824 0.5000  1 Tl 3.18, 6 Nd 3.19-3.30
15 Ga 0.1862 0.1862 0.2905  5 Nd 2.99-3.20
16 Ga 0.2469 0.2469 0.8425  7 Nd 2.94-3.21
17 Ga 0.5000 0.5000 0.0000  6 Nd 2.95-3.16
18 Ga 0.7531 0.7531 0.1575  7 Nd 2.94-3.21
19 Ga 0.8138 0.8138 0.7095  5 Nd 2.99-3.20



Compound: CaBOsO5
Source: the Alexandria database
Functional: PBE-GGA
Structure: relaxed

Summary:
space group = C2/c (15)
formation energy from raw total energies = -187 kJ per mole of atoms
calculated total energy = -120.4 eV/cell

a = 5.2852 Å, b = 5.2852 Å, c = 7.1021 Å
α = 104.77°, β = 104.77°, γ = 105.60°
With the nearest neighbours (Å) after each atom.
Fractional coordinates of all 16 atoms:
1 Ca 0.1596 0.8404 0.7500  5 O 2.31-2.37
2 Ca 0.8404 0.1596 0.2500  5 O 2.31-2.37
3 B 0.1875 0.8125 0.2500  4 O 1.50-1.51
4 B 0.8125 0.1875 0.7500  4 O 1.50-1.51
5 Os 0.5000 0.5000 0.0000  6 O 1.85-2.04
6 Os 0.5000 0.5000 0.5000  6 O 1.85-2.04
7 O 0.0975 0.2498 0.9035  1 B 1.51
8 O 0.1801 0.6169 0.3702  1 B 1.50
9 O 0.2498 0.0975 0.4035  1 B 1.51
10 O 0.3831 0.8199 0.1298  1 B 1.50
11 O 0.4374 0.5626 0.7500  2 Os 1.85
12 O 0.5626 0.4374 0.2500  2 Os 1.85
13 O 0.6169 0.1801 0.8702  1 B 1.50
14 O 0.7502 0.9025 0.5965  1 B 1.51
15 O 0.8199 0.3831 0.6298  1 B 1.50
16 O 0.9025 0.7502 0.0965  1 B 1.51



Compound: TaSbMo
Source: the Alexandria database
Functional: PBE-GGA
Structure: relaxed

Summary:
space group = P2_1/m (11)
formation energy from raw total energies = 9 kJ per mole of atoms
ΔE to the lowest computed polymorph = 0.1737 eV per atom
calculated total energy = -53.1 eV/cell

a = 2.9660 Å, b = 4.3817 Å, c = 9.8370 Å
α = 90.00°, β = 96.19°, γ = 90.00°
With the nearest neighbours (Å) after each atom.
Fractional coordinates of all 6 atoms:
1 Ta 0.1679 0.2500 0.4350  3 Mo 2.70-2.75, 4 Ta 2.78-2.97, 1 Sb 2.89
2 Ta 0.8321 0.7500 0.5650  3 Mo 2.70-2.75, 4 Ta 2.78-2.97, 1 Sb 2.89
3 Sb 0.1633 0.7500 0.8520  1 Ta 2.89, 2 Sb 2.97, 4 Mo 3.00-3.08
4 Sb 0.8367 0.2500 0.1480  1 Ta 2.89, 2 Sb 2.97, 4 Mo 3.00-3.08
5 Mo 0.4191 0.7500 0.3009  3 Ta 2.70-2.75, 2 Mo 2.97, 2 Sb 3.00
6 Mo 0.5809 0.2500 0.6991  3 Ta 2.70-2.75, 2 Mo 2.97, 2 Sb 3.00



Compound: Y8Al2Cd
Source: the Alexandria database
Functional: PBE-GGA
Structure: relaxed

Summary:
space group = C2/m (12)
DFT formation energy = -20 kJ/mol of atoms
calculated total energy = -62.3 eV/cell

a = 8.4726 Å, b = 8.4726 Å, c = 8.4118 Å
α = 118.03°, β = 118.03°, γ = 36.14°
With the nearest neighbours (Å) after each atom.
Fractional coordinates of all 11 atoms:
1 Y 0.0646 0.0646 0.2195  1 Al 3.06, 3 Y 3.22-3.27
2 Y 0.1430 0.1430 0.6987  3 Al 3.15-3.24, 2 Cd 3.35
3 Y 0.3176 0.3176 0.5444  1 Al 3.08, 1 Cd 3.14, 4 Y 3.26-3.27
4 Y 0.3975 0.3975 0.0428  3 Al 3.17, 1 Cd 3.35, 2 Y 3.52
5 Y 0.6025 0.6025 0.9572  3 Al 3.17, 1 Cd 3.35, 2 Y 3.52
6 Y 0.6824 0.6824 0.4556  1 Al 3.08, 1 Cd 3.14, 4 Y 3.26-3.27
7 Y 0.8570 0.8570 0.3013  3 Al 3.15-3.24, 2 Cd 3.35
8 Y 0.9354 0.9354 0.7805  1 Al 3.06, 3 Y 3.22-3.27
9 Al 0.2253 0.2253 0.1245  8 Y 3.06-3.24
10 Al 0.7747 0.7747 0.8755  8 Y 3.06-3.24
11 Cd 0.5000 0.5000 0.5000  8 Y 3.14-3.35



Compound: Ag8Te6Pb
Source: the Alexandria database
Functional: PBE-GGA
Structure: relaxed

Summary:
space group = R-3 (148)
formation energy from raw total energies = -5 kJ per mole of atoms
calculated total energy = -46.2 eV/cell

a = 9.0863 Å, b = 9.0863 Å, c = 9.0863 Å
α = 49.95°, β = 49.95°, γ = 49.95°
With the nearest neighbours (Å) after each atom.
Fractional coordinates of all 15 atoms:
1 Ag 0.0694 0.0694 0.0694  3 Te 2.78, 3 Ag 2.98
2 Ag 0.1333 0.3287 0.6206  3 Te 2.87-2.91, 4 Ag 2.95-3.10
3 Ag 0.3287 0.6206 0.1333  3 Te 2.87-2.91, 4 Ag 2.95-3.10
4 Ag 0.3794 0.8667 0.6713  3 Te 2.87-2.91, 4 Ag 2.95-3.10
5 Ag 0.6206 0.1333 0.3287  3 Te 2.87-2.91, 4 Ag 2.95-3.10
6 Ag 0.6713 0.3794 0.8667  3 Te 2.87-2.91, 4 Ag 2.95-3.10
7 Ag 0.8667 0.6713 0.3794  3 Te 2.87-2.91, 4 Ag 2.95-3.10
8 Ag 0.9306 0.9306 0.9306  3 Te 2.78, 3 Ag 2.98
9 Te 0.0484 0.7618 0.4676  4 Ag 2.78-2.91
10 Te 0.2382 0.5324 0.9516  4 Ag 2.78-2.91
11 Te 0.4676 0.0484 0.7618  4 Ag 2.78-2.91
12 Te 0.5324 0.9516 0.2382  4 Ag 2.78-2.91
13 Te 0.7618 0.4676 0.0484  4 Ag 2.78-2.91
14 Te 0.9516 0.2382 0.5324  4 Ag 2.78-2.91
15 Pb 0.5000 0.5000 0.5000  6 Te 3.27



Compound: SrMnOs2
Source: the Alexandria database
Functional: PBE-GGA
Structure: relaxed

Summary:
space group = I4_1/amd (141)
DFT formation energy = 84 kJ/mol of atoms
ΔE to the lowest computed polymorph = 0.5950 eV per atom
calculated total energy = -59.6 eV/cell

a = 9.0761 Å, b = 9.0761 Å, c = 9.0761 Å
α = 148.93°, β = 148.93°, γ = 44.51°
With the nearest neighbours (Å) after each atom.
Fractional coordinates of all 8 atoms:
1 Sr 0.3750 0.6250 0.7500  8 Os 3.43, 4 Mn 3.44
2 Sr 0.6250 0.3750 0.2500  8 Os 3.43, 4 Mn 3.44
3 Mn 0.1250 0.8750 0.2500  4 Os 2.43
4 Mn 0.8750 0.1250 0.7500  4 Os 2.43
5 Os 0.0000 0.0000 0.0000  2 Mn 2.43, 2 Os 2.43
6 Os 0.0000 0.0000 0.5000  2 Mn 2.43, 2 Os 2.43
7 Os 0.0000 0.5000 0.0000  2 Mn 2.43, 2 Os 2.43
8 Os 0.5000 0.0000 0.5000  2 Mn 2.43, 2 Os 2.43



Compound: Rb2NbSn
Source: the Alexandria database
Functional: PBE-GGA
Structure: relaxed

Summary:
space group = I-42d (122)
DFT formation energy = 80 kJ/mol of atoms
calculated total energy = -25.4 eV/cell

a = 10.1300 Å, b = 10.1300 Å, c = 10.1300 Å
α = 94.19°, β = 94.19°, γ = 148.62°
With the nearest neighbours (Å) after each atom.
Fractional coordinates of all 8 atoms:
1 Rb 0.3750 0.1935 0.3185  2 Sn 3.64
2 Rb 0.8065 0.1250 0.1815  2 Sn 3.64
3 Rb 0.8750 0.0565 0.6815  2 Sn 3.64
4 Rb 0.9435 0.6250 0.8185  2 Sn 3.64
5 Nb 0.2500 0.7500 0.5000  2 Sn 2.74
6 Nb 0.5000 0.5000 0.0000  2 Sn 2.74
7 Sn 0.0000 0.0000 0.0000  2 Nb 2.74
8 Sn 0.7500 0.2500 0.5000  2 Nb 2.74



Compound: CeSmHgRu
Source: the Alexandria database
Functional: PBE-GGA
Structure: relaxed

Summary:
space group = F-43m (216)
DFT formation energy = -22 kJ/mol of atoms
ΔE to the lowest computed polymorph = 0.1233 eV per atom
calculated total energy = -21.2 eV/cell

a = 5.1359 Å, b = 5.1359 Å, c = 5.1359 Å
α = 60.00°, β = 60.00°, γ = 60.00°
With the nearest neighbours (Å) after each atom.
Fractional coordinates of all 4 atoms:
1 Ce 0.0000 0.0000 0.0000  4 Hg 3.15, 4 Ru 3.15
2 Sm 0.5000 0.5000 0.5000  4 Hg 3.15, 4 Ru 3.15
3 Hg 0.7500 0.7500 0.7500  4 Sm 3.15, 4 Ce 3.15
4 Ru 0.2500 0.2500 0.2500  4 Sm 3.15, 4 Ce 3.15